Entry from Alexandria: a relaxed NaPmRhAu crystal (PBE-GGA).

Summary:
Formation energy   -349 meV per atom

abc: 6.995 6.995 6.995
angles: 90.00 90.00 90.00
Sites, in units of the cell vectors:
Na 0.000 0.000 0.000
Na 0.000 0.500 0.500
Na 0.500 0.000 0.500
Na 0.500 0.500 0.000
Pm 0.000 0.000 0.500
Pm 0.000 0.500 0.000
Pm 0.500 0.000 0.000
Pm 0.500 0.500 0.500
Rh 0.250 0.250 0.250
Rh 0.250 0.750 0.750
Rh 0.750 0.250 0.750
Rh 0.750 0.750 0.250
Au 0.250 0.250 0.750
Au 0.250 0.750 0.250
Au 0.750 0.250 0.250
Au 0.750 0.750 0.750

Entry from Alexandria: a relaxed Rb2ZrRe crystal (PBE-GGA).

Summary:
Formation energy   2311 meV per atom

abc: 8.178 8.178 8.178
angles: 90.00 90.00 90.00
Sites, in units of the cell vectors:
Rb 0.250 0.250 0.250
Rb 0.250 0.250 0.750
Rb 0.250 0.750 0.250
Rb 0.250 0.750 0.750
Rb 0.750 0.250 0.250
Rb 0.750 0.250 0.750
Rb 0.750 0.750 0.250
Rb 0.750 0.750 0.750
Zr 0.000 0.000 0.000
Zr 0.000 0.500 0.500
Zr 0.500 0.000 0.500
Zr 0.500 0.500 0.000
Re 0.000 0.000 0.500
Re 0.000 0.500 0.000
Re 0.500 0.000 0.000
Re 0.500 0.500 0.500